1.
The following is a DFT calculation (PBE) of a relaxed structure of Na3ScPa2Se6.

a b c (Å): 6.997 6.997 7.526
angles (deg): 98.93 98.93 120.03
Fractional coordinates of all 12 atoms:
Na1 0.000 0.000 0.000
Na2 0.332 0.668 0.000
Na3 0.668 0.332 0.000
Sc1 0.500 0.500 0.500
Pa1 0.167 0.833 0.500
Pa2 0.833 0.167 0.500
Se1 0.100 0.422 0.268
Se2 0.255 0.255 0.732
Se3 0.422 0.100 0.268
Se4 0.578 0.900 0.732
Se5 0.745 0.745 0.268
Se6 0.900 0.578 0.732

## Properties
Its raw formation energy is -1.362 eV/atom. The space group is C2/m. The total energy is -66.53 eV for the cell shown.


2.
The following is a DFT calculation (PBE) of a relaxed structure of SrOs2Cl.

a b c (Å): 3.809 5.874 8.525
angles (deg): 90.00 90.00 90.00
Fractional coordinates of all 8 atoms:
Sr1 0.000 0.000 0.000
Sr2 0.500 0.500 0.500
Os1 0.000 0.000 0.497
Os2 0.000 0.500 0.154
Os3 0.500 0.000 0.654
Os4 0.500 0.500 0.997
Cl1 0.000 0.500 0.777
Cl2 0.500 0.000 0.277

## Properties
Its raw formation energy is 0.433 eV/atom. The space group is Imm2. Its excess energy over the best structure of this formula in the dataset is 503.0 meV/atom. The total energy is -48.51 eV for the cell shown.


3.
The following is a DFT calculation (PBE) of a relaxed structure of ErZn3Pd4.

a b c (Å): 7.909 7.909 7.909
angles (deg): 32.76 32.76 32.76
Fractional coordinates of all 8 atoms:
Er1 0.000 0.000 0.000
Zn1 0.248 0.248 0.248
Zn2 0.500 0.500 0.500
Zn3 0.752 0.752 0.752
Pd1 0.128 0.128 0.128
Pd2 0.387 0.387 0.387
Pd3 0.613 0.613 0.613
Pd4 0.872 0.872 0.872

## Properties
The space group is R-3m. As for the energy of formation: -0.644 eV per atom. The total energy is -34.31 eV for the cell shown.


4.
The following is a DFT calculation (PBE) of a relaxed structure of Cu4AgI5.

a b c (Å): 4.329 4.329 36.267
angles (deg): 90.00 90.00 120.00
Fractional coordinates of all 20 atoms:
Cu1 0.000 0.000 0.000
Cu2 0.000 0.000 0.193
Cu3 0.000 0.000 0.386
Cu4 0.000 0.000 0.579
Cu5 0.000 0.000 0.790
Cu6 0.667 0.333 0.096
Cu7 0.667 0.333 0.289
Cu8 0.667 0.333 0.482
Ag1 0.667 0.333 0.680
Ag2 0.667 0.333 0.890
I1 0.000 0.000 0.120
I2 0.000 0.000 0.313
I3 0.000 0.000 0.506
I4 0.000 0.000 0.717
I5 0.000 0.000 0.928
I6 0.667 0.333 0.024
I7 0.667 0.333 0.217
I8 0.667 0.333 0.410
I9 0.667 0.333 0.603
I10 0.667 0.333 0.813

## Properties
Its raw formation energy is -0.148 eV/atom. The space group is P3m1. The total energy is -56.94 eV for the cell shown.